No. 1
Material: CoAs
Method: DFT, GGA-PBE
State: optimized geometry

Lattice parameters (Å, degrees): 6.975 6.975 6.975 30.41 30.41 30.41
Last column: magnetic moment on the atom in μB.
Positions (direct):
As  0.753  0.753  0.753  0.00
Co  0.871  0.871  0.871  0.19
Co  0.129  0.129  0.129  0.19
As  0.247  0.247  0.247  0.00

Properties
Size of the total moment = 0.097 μB per atom
SG = R-3m, No. 166
DFT formation energy = 0.0007 eV per atom


No. 2
Material: Th2TeN2
Method: DFT, GGA-PBE
State: optimized geometry

Lattice parameters (Å, degrees): 7.194 7.194 7.194 146.82 146.82 47.63
Positions (direct):
N  0.750  0.250  0.500
Te  0.000  0.000  0.000
Th  0.663  0.663  0.000
N  0.250  0.750  0.500
Th  0.337  0.337  0.000

Properties
Size of the total moment = 0.000 μB per atom
Formation energy without anion corrections = -1.823 eV per atom
SG = I4/mmm, No. 139


No. 3
Material: Ca2IrPt2
Method: DFT, GGA-PBE
State: optimized geometry

Lattice parameters (Å, degrees): 3.634 3.634 8.760 78.03 78.03 90.00
Positions (direct):
Ca  0.602  0.602  0.797
Pt  0.750  0.250  0.500
Pt  0.250  0.750  0.500
Ca  0.398  0.398  0.203
Ir  0.000  0.000  0.000

Properties
Size of the total moment = 0.000 μB per atom
SG = I4/mmm, No. 139
DFT formation energy = -0.2700 eV per atom